Record 1
Below is KSc2Ir at its PBEsol-relaxed geometry, with properties calculated at the SCAN level.

Calculated values
* space group: Fm-3m
* relative energy among the computed polymorphs: 0.000 eV/atom
* magnetization: 0.0 μB per cell

a = 4.830 Å, b = 4.830 Å, c = 4.830 Å
α = 60.00°, β = 60.00°, γ = 60.00°
Positions (direct):
1 K 0.000 0.000 0.000
2 Sc 0.250 0.250 0.250
3 Sc 0.750 0.750 0.750
4 Ir 0.500 0.500 0.500

***

Record 2
Below is KZnCdB2 at its PBEsol-relaxed geometry, with properties calculated at the SCAN level.

Calculated values
* space group: P4/mmm
* electronic total energy: -10.7833 eV per atom
* magnetization: 0.0 μB per cell

a = 4.906 Å, b = 4.906 Å, c = 5.761 Å
α = 90.00°, β = 90.00°, γ = 90.00°
Positions (direct):
1 K 0.000 0.000 0.000
2 Zn 0.500 0.500 0.500
3 Cd 0.000 0.000 0.500
4 B 0.000 0.500 0.000
5 B 0.500 0.000 0.000

***

Record 3
Below is Ba2LiAg at its PBEsol-relaxed geometry, with properties calculated at the SCAN level.

Calculated values
* space group: P4/mmm
* relative energy among the computed polymorphs: 0.044 eV/atom
* magnetization: 0.0 μB per cell

a = 5.764 Å, b = 5.764 Å, c = 4.183 Å
α = 90.00°, β = 90.00°, γ = 90.00°
Positions (direct):
1 Ba 0.000 0.500 0.000
2 Ba 0.500 0.000 0.000
3 Li 0.000 0.000 0.500
4 Ag 0.500 0.500 0.500

***

Record 4
Below is AlInRe2 at its PBEsol-relaxed geometry, with properties calculated at the SCAN level.

Calculated values
* space group: P2/m
* relative energy among the computed polymorphs: 0.033 eV/atom
* magnetization: 0.0 μB per cell

a = 2.792 Å, b = 4.328 Å, c = 5.369 Å
α = 90.00°, β = 97.87°, γ = 90.00°
Positions (direct):
1 Al 0.000 0.000 0.000
2 In 0.500 0.000 0.500
3 Re 0.282 0.500 0.779
4 Re 0.718 0.500 0.221

***

Record 5
Below is GaBiOs2W at its PBEsol-relaxed geometry, with properties calculated at the SCAN level.

Calculated values
* space group: P4/mmm
* electronic total energy: -58.4834 eV per atom
* magnetization: 3.1 μB per cell

a = 4.878 Å, b = 4.878 Å, c = 4.935 Å
α = 90.00°, β = 90.00°, γ = 90.00°
Positions (direct):
1 Ga 0.000 0.000 0.000
2 Bi 0.000 0.000 0.500
3 Os 0.000 0.500 0.500
4 Os 0.500 0.000 0.500
5 W 0.500 0.500 0.000

***

Record 6
Below is Be2SiNi at its PBEsol-relaxed geometry, with properties calculated at the SCAN level.

Calculated values
* space group: I-4m2
* formation energy (no corrections): -0.248 eV/atom
* magnetization: 0.0 μB per cell

a = 4.112 Å, b = 4.112 Å, c = 4.112 Å
α = 131.73°, β = 131.73°, γ = 70.66°
Positions (direct):
1 Be 0.000 0.000 0.000
2 Be 0.750 0.250 0.500
3 Si 0.500 0.500 0.000
4 Ni 0.250 0.750 0.500

***

Record 7
Below is LiSnP3O9 at its PBEsol-relaxed geometry, with properties calculated at the SCAN level.

Calculated values
* space group: P-1
* formation energy (no corrections): -2.290 eV/atom
* magnetization: 0.0 μB per cell

a = 6.808 Å, b = 7.177 Å, c = 7.399 Å
α = 84.89°, β = 77.53°, γ = 83.04°
Positions (direct):
1 Li 0.073 0.161 0.167
2 Li 0.927 0.839 0.833
3 Sn 0.440 0.767 0.851
4 Sn 0.560 0.233 0.149
5 P 0.088 0.613 0.221
6 P 0.262 0.840 0.453
7 P 0.344 0.278 0.775
8 P 0.656 0.722 0.225
9 P 0.738 0.160 0.547
10 P 0.912 0.387 0.779
11 O 0.135 0.410 0.195
12 O 0.142 0.754 0.057
13 O 0.149 0.340 0.690
14 O 0.179 0.660 0.393
15 O 0.206 0.835 0.662
16 O 0.215 0.013 0.338
17 O 0.311 0.113 0.914
18 O 0.423 0.442 0.840
19 O 0.494 0.217 0.586
20 O 0.506 0.783 0.414
21 O 0.577 0.558 0.160
22 O 0.689 0.887 0.086
23 O 0.785 0.987 0.662
24 O 0.794 0.165 0.338
25 O 0.821 0.340 0.607
26 O 0.851 0.660 0.310
27 O 0.858 0.246 0.943
28 O 0.865 0.590 0.805

***

Record 8
Below is KNbCu2 at its PBEsol-relaxed geometry, with properties calculated at the SCAN level.

Calculated values
* space group: Fm-3m
* electronic total energy: -16.8446 eV per atom
* magnetization: 0.0 μB per cell

a = 4.671 Å, b = 4.671 Å, c = 4.671 Å
α = 60.00°, β = 60.00°, γ = 60.00°
Positions (direct):
1 K 0.000 0.000 0.000
2 Nb 0.500 0.500 0.500
3 Cu 0.250 0.250 0.250
4 Cu 0.750 0.750 0.750

***

Record 9
Below is Cu2H3ClO3 at its PBEsol-relaxed geometry, with properties calculated at the SCAN level.

Calculated values
* space group: Pnma
* relative energy among the computed polymorphs: 0.002 eV/atom
* magnetization: 0.0 μB per cell

a = 5.913 Å, b = 6.823 Å, c = 9.115 Å
α = 90.00°, β = 90.00°, γ = 90.00°
Positions (direct):
1 Cu 0.000 0.000 0.000
2 Cu 0.000 0.500 0.000
3 Cu 0.174 0.250 0.255
4 Cu 0.326 0.750 0.755
5 Cu 0.500 0.000 0.500
6 Cu 0.500 0.500 0.500
7 Cu 0.674 0.250 0.245
8 Cu 0.826 0.750 0.745
9 H 0.091 0.052 0.731
10 H 0.091 0.448 0.731
11 H 0.198 0.750 0.455
12 H 0.302 0.250 0.955
13 H 0.409 0.552 0.231
14 H 0.409 0.948 0.231
15 H 0.591 0.052 0.769
16 H 0.591 0.448 0.769
17 H 0.698 0.750 0.045
18 H 0.802 0.250 0.545
19 H 0.909 0.552 0.269
20 H 0.909 0.948 0.269
21 Cl 0.135 0.250 0.575
22 Cl 0.365 0.750 0.075
23 Cl 0.635 0.250 0.925
24 Cl 0.865 0.750 0.425
25 O 0.078 0.565 0.797
26 O 0.078 0.935 0.797
27 O 0.149 0.250 0.001
28 O 0.351 0.750 0.501
29 O 0.422 0.065 0.297
30 O 0.422 0.435 0.297
31 O 0.578 0.565 0.703
32 O 0.578 0.935 0.703
33 O 0.649 0.250 0.499
34 O 0.851 0.750 0.999
35 O 0.922 0.065 0.203
36 O 0.922 0.435 0.203

***

Record 10
Below is YBe3 at its PBEsol-relaxed geometry, with properties calculated at the SCAN level.

Calculated values
* space group: R-3m
* relative energy among the computed polymorphs: 0.000 eV/atom
* magnetization: 0.3 μB per cell

a = 5.243 Å, b = 5.243 Å, c = 5.243 Å
α = 40.88°, β = 40.88°, γ = 40.88°
Positions (direct):
1 Y 0.000 0.000 0.000
2 Be 0.193 0.193 0.193
3 Be 0.500 0.500 0.500
4 Be 0.807 0.807 0.807

***

Record 11
Below is Ba2Tl3 at its PBEsol-relaxed geometry, with properties calculated at the SCAN level.

Calculated values
* space group: P-3m1
* electronic total energy: -59.5127 eV per atom
* magnetization: 0.0 μB per cell

a = 5.600 Å, b = 5.600 Å, c = 7.244 Å
α = 90.00°, β = 90.00°, γ = 120.00°
Positions (direct):
1 Ba 0.333 0.667 0.318
2 Ba 0.667 0.333 0.682
3 Tl 0.000 0.000 0.500
4 Tl 0.333 0.667 0.851
5 Tl 0.667 0.333 0.149

***

Record 12
Below is AgAu at its PBEsol-relaxed geometry, with properties calculated at the SCAN level.

Calculated values
* space group: Pbcm
* electronic total energy: -50.2639 eV per atom
* magnetization: 0.0 μB per cell

a = 9.294 Å, b = 7.985 Å, c = 5.513 Å
α = 90.00°, β = 90.00°, γ = 90.00°
Positions (direct):
1 Ag 0.124 0.250 0.000
2 Ag 0.124 0.250 0.500
3 Ag 0.126 0.583 0.250
4 Ag 0.126 0.917 0.750
5 Ag 0.375 0.079 0.250
6 Ag 0.375 0.421 0.750
7 Ag 0.625 0.579 0.250
8 Ag 0.625 0.921 0.750
9 Ag 0.874 0.083 0.250
10 Ag 0.874 0.417 0.750
11 Ag 0.876 0.750 0.000
12 Ag 0.876 0.750 0.500
13 Au 0.123 0.582 0.750
14 Au 0.123 0.918 0.250
15 Au 0.374 0.088 0.750
16 Au 0.374 0.412 0.250
17 Au 0.375 0.750 0.000
18 Au 0.375 0.750 0.500
19 Au 0.625 0.250 0.000
20 Au 0.625 0.250 0.500
21 Au 0.626 0.588 0.750
22 Au 0.626 0.912 0.250
23 Au 0.877 0.082 0.750
24 Au 0.877 0.418 0.250